<1>
Material: BaSrEuWO6
Method: DFT, GGA+U
State: relaxed

extended XYZ file:
```
10
Lattice="0.000 4.301 4.301 4.301 0.000 4.301 4.301 4.301 0.000" Properties=species:S:1:pos:R:3 pbc="T T T"
Ba 6.451 6.451 6.451
Sr 2.150 2.150 2.150
O 4.301 2.335 4.301
O 4.301 4.301 2.335
O 4.301 4.301 6.266
O 4.301 6.266 4.301
O 6.266 4.301 4.301
O 2.335 4.301 4.301
W 4.301 4.301 4.301
Eu 0.000 0.000 0.000
```



<2>
Material: BaSrEuWO6
Method: DFT, GGA+U
State: relaxed

extended XYZ file:
```
20
Lattice="-4.966 -2.728 -1.959 -0.197 -3.254 5.031 -4.872 6.149 3.786" Properties=species:S:1:pos:R:3 pbc="T T T"
O -8.776 2.855 3.893
O -3.546 4.475 2.756
O -3.691 -1.590 2.399
O -6.344 1.757 4.460
O -1.757 -1.550 0.475
O -3.824 1.695 2.129
O -6.105 -1.663 4.647
O -3.452 0.358 5.215
O -1.326 1.674 1.031
O -3.512 -4.298 2.679
O -6.689 -0.058 1.726
O -6.025 3.326 6.669
W -2.581 -2.991 1.536
W -2.436 3.074 1.893
Sr -3.753 2.984 5.355
Sr -3.701 0.173 -0.033
Ba -1.317 -0.090 3.462
Ba -6.137 3.247 1.860
Eu -5.017 0.083 3.429
Eu 0.000 0.000 0.000
```



<3>
Material: BaSrEuWO6
Method: DFT, GGA+U
State: relaxed

extended XYZ file:
```
20
Lattice="6.015 0.000 0.000 0.000 6.015 0.000 0.000 0.000 8.766" Properties=species:S:1:pos:R:3 pbc="T T T"
O 0.908 4.747 6.471
O 3.008 0.000 0.285
O 3.008 0.000 4.229
O 4.747 0.908 2.295
O 1.268 5.107 2.295
O 1.739 2.100 6.471
O 2.100 1.739 2.295
O 0.000 3.008 4.536
O 0.000 3.008 8.481
O 3.916 4.276 2.295
O 5.107 1.268 6.471
O 4.276 3.916 6.471
Ba 3.008 3.008 0.000
Ba 0.000 0.000 0.000
W 0.000 3.008 6.482
W 3.008 0.000 2.283
Sr 3.008 0.000 6.585
Sr 0.000 3.008 2.180
Eu 3.008 3.008 4.383
Eu 0.000 0.000 4.383
```



<4>
Material: BaSrEuWO6
Method: DFT, GGA+U
State: relaxed

extended XYZ file:
```
10
Lattice="0.000 4.331 4.331 4.331 0.000 4.331 4.331 4.331 0.000" Properties=species:S:1:pos:R:3 pbc="T T T"
O 4.331 4.331 6.282
O 4.331 2.379 4.331
O 6.282 4.331 4.331
O 2.379 4.331 4.331
O 4.331 4.331 2.379
O 4.331 6.282 4.331
Sr 0.000 0.000 0.000
W 4.331 4.331 4.331
Eu 2.165 2.165 2.165
Ba 6.496 6.496 6.496
```



Stability ranking, top entry: <2>; the second entry is 32 meV/atom less favorable.



<1>
Material: BaSrEuWO6
Method: DFT, GGA+U
State: relaxed

extended XYZ file:
```
20
Lattice="6.013 0.021 -0.019 -0.025 6.136 0.031 -0.137 -0.160 8.591" Properties=species:S:1:pos:R:3 pbc="T T T"
Ba -0.078 0.101 6.458
Ba 5.929 5.896 2.145
O 2.545 0.311 1.879
O 1.420 1.818 4.821
O 5.219 2.895 6.144
O 1.044 4.522 4.803
O 3.306 5.686 6.724
O 1.237 4.894 8.348
O 0.632 3.102 2.459
O 1.869 1.503 8.098
O 4.431 4.179 3.782
O 4.807 1.475 3.800
O 3.982 4.493 0.505
O 4.614 1.103 0.255
Eu 2.768 3.227 6.475
Eu 3.083 2.769 2.128
W -0.081 2.988 4.311
W 3.006 0.011 -0.009
Sr -0.013 3.068 0.015
Sr 2.938 -0.070 4.286
```



<2>
Material: BaSrEuWO6
Method: DFT, GGA+U
State: relaxed

extended XYZ file:
```
20
Lattice="-4.173 -4.023 -1.562 2.078 0.009 -5.724 5.529 -6.269 1.998" Properties=species:S:1:pos:R:3 pbc="T T T"
O -0.647 -3.373 -0.761
O 5.116 -4.680 -1.763
O 4.082 -6.909 -4.527
O 0.820 -1.090 -4.983
O -1.064 -3.091 -5.255
O 2.620 -4.059 -0.595
O -1.681 -5.602 -3.525
O 0.604 -6.204 -1.877
O 0.816 -6.224 -4.693
O 4.499 -7.191 -0.033
O 2.831 -4.078 -3.411
O 2.616 -9.192 -0.305
Sr 0.291 -3.811 -3.132
Sr 3.145 -6.471 -2.156
W -2.086 -2.012 -0.781
W 3.804 -3.130 -1.863
Ba 2.067 -8.706 -5.773
Ba 1.369 -1.576 0.486
Eu 1.039 0.005 -2.862
Eu 0.678 -5.146 0.218
```



Stability ranking, top entry: <2>; the second entry is 21 meV/atom less favorable.